# SmGa4Ge

A geometry-optimized SmGa4Ge structure (PBE-GGA, Alexandria).

Summary:
energy above the lowest structure with this stoichiometry: 0.000 eV/atom
uncorrected energy: -3.876 eV per atom
ρ: 6.833 g/cm3
magnetic moment: 0.00 μB/f.u.
crystal system: monoclinic
energy of formation: -0.3016 eV/atom

abc: 5.854 5.854 6.235
angles: 119.27 119.27 42.09
Fractional positions:
Sm1 0.000 0.000 0.000
Ga1 0.262 0.262 0.883
Ga2 0.348 0.348 0.531
Ga3 0.652 0.652 0.469
Ga4 0.738 0.738 0.117
Ge1 0.000 0.000 0.500